(1)
A geometry-optimized TlCoI2O structure, computed with GGA-PBEsol.

Properties
raw total energy	-15.78	eV per cell
energy relative to the elements, uncorrected	673.8	meV/atom

Cell and atoms, written as CIF:
```
data_TlCoI2O
_space_group_name_H-M_alt 'P 4/m m m'
_space_group_IT_number 123
_space_group_name_Hall '-P 4 2'
_cell_length_a 5.947
_cell_length_b 5.947
_cell_length_c 4.006
_cell_angle_alpha 90.00
_cell_angle_beta 90.00
_cell_angle_gamma 90.00
loop_
_atom_site_label
_atom_site_fract_x
_atom_site_fract_y
_atom_site_fract_z
Tl1 0.000 0.000 0.000
Co1 0.500 0.500 0.500
I1 0.000 0.500 0.000
O1 0.000 0.000 0.500
```



(2)
A geometry-optimized YCoI2O structure, computed with GGA-PBEsol.

Properties
raw total energy	-25.70	eV per cell
energy relative to the elements, uncorrected	-472.1	meV/atom

Cell and atoms, written as CIF:
```
data_YCoI2O
_space_group_name_H-M_alt 'P 4/m m m'
_space_group_IT_number 123
_space_group_name_Hall '-P 4 2'
_cell_length_a 5.992
_cell_length_b 5.992
_cell_length_c 4.080
_cell_angle_alpha 90.00
_cell_angle_beta 90.00
_cell_angle_gamma 90.00
loop_
_atom_site_label
_atom_site_fract_x
_atom_site_fract_y
_atom_site_fract_z
Y1 0.000 0.000 0.000
Co1 0.500 0.500 0.500
I1 0.000 0.500 0.000
O1 0.000 0.000 0.500
```